DFT (GGA-PBE) results for a relaxed structure of TbCePb.

Unit cell a=9.446 b=9.446 c=9.446 alpha=152.79 beta=152.79 gamma=38.86
Fractional coordinates of all 6 atoms:
Tb: 0.177 0.177 0.000
Tb: 0.823 0.823 0.000
Ce: 0.000 0.500 0.500
Ce: 0.500 0.000 0.500
Pb: 0.358 0.358 0.000
Pb: 0.642 0.642 0.000

ΔE_f = -1.3 eV/f.u.
energy relative to the lowest polymorph listed for this composition = 0 kJ/mol of formula units
final energy = -5.1820 eV per atom
size of the total moment = 0.63 μB/f.u.
DOS at the Fermi energy = 10.513 states/eV per cell
calculated volume = 176 Å³/cell